No. 1
Crystalline TlRe2W at its relaxed geometry, computed with PBE-GGA.

SG: No. 65
ρ in g cm⁻³: 18.8
E_form in kcal/mol of atoms: 20.89

Cell: 5.722 7.704 3.050 Å, 90.00 90.00 90.00°
Element x y z (fractional)
Tl: 0.000 0.000 0.000
Tl: 0.500 0.500 0.000
Re: 0.250 0.250 0.500
Re: 0.250 0.750 0.500
Re: 0.750 0.250 0.500
Re: 0.750 0.750 0.500
W: 0.000 0.500 0.000
W: 0.500 0.000 0.000

No. 2
Crystalline NbCr3As at its relaxed geometry, computed with PBE-GGA.

SG: No. 221
ρ in g cm⁻³: 5.1
E_form in kcal/mol of atoms: 35.36

Cell: 4.718 4.718 4.718 Å, 90.00 90.00 90.00°
Element x y z (fractional)
Nb: 0.000 0.000 0.000
Cr: 0.000 0.000 0.500
Cr: 0.000 0.500 0.000
Cr: 0.500 0.000 0.000
As: 0.500 0.500 0.500

No. 3
Crystalline Cu2W at its relaxed geometry, computed with PBE-GGA.

SG: No. 205
ρ in g cm⁻³: 10.3
E_form in kcal/mol of atoms: 35.22

Cell: 5.856 5.856 5.856 Å, 90.00 90.00 90.00°
Element x y z (fractional)
Cu: 0.117 0.117 0.117
Cu: 0.117 0.383 0.617
Cu: 0.383 0.617 0.117
Cu: 0.383 0.883 0.617
Cu: 0.617 0.117 0.383
Cu: 0.617 0.383 0.883
Cu: 0.883 0.617 0.383
Cu: 0.883 0.883 0.883
W: 0.000 0.000 0.500
W: 0.000 0.500 0.000
W: 0.500 0.000 0.000
W: 0.500 0.500 0.500

No. 4
Crystalline Cd2CuRe at its relaxed geometry, computed with PBE-GGA.

SG: No. 119
ρ in g cm⁻³: 11.6
E_form in kcal/mol of atoms: 16.77

Cell: 4.056 4.056 8.260 Å, 90.00 90.00 90.00°
Element x y z (fractional)
Cd: 0.000 0.000 0.000
Cd: 0.000 0.500 0.250
Cd: 0.500 0.000 0.750
Cd: 0.500 0.500 0.500
Cu: 0.000 0.500 0.750
Cu: 0.500 0.000 0.250
Re: 0.000 0.000 0.500
Re: 0.500 0.500 0.000

No. 5
Crystalline MnTl2Mo at its relaxed geometry, computed with PBE-GGA.

SG: No. 139
ρ in g cm⁻³: 11.9
E_form in kcal/mol of atoms: 17.20

Cell: 4.222 4.222 8.734 Å, 90.00 90.00 90.00°
Element x y z (fractional)
Mn: 0.000 0.000 0.000
Mn: 0.500 0.500 0.500
Tl: 0.000 0.500 0.250
Tl: 0.000 0.500 0.750
Tl: 0.500 0.000 0.250
Tl: 0.500 0.000 0.750
Mo: 0.000 0.000 0.500
Mo: 0.500 0.500 0.000

No. 6
Crystalline CdGa3Rh at its relaxed geometry, computed with PBE-GGA.

SG: No. 221
ρ in g cm⁻³: 6.2
E_form in kcal/mol of atoms: -3.80

Cell: 4.841 4.841 4.841 Å, 90.00 90.00 90.00°
Element x y z (fractional)
Cd: 0.000 0.000 0.000
Ga: 0.000 0.500 0.500
Ga: 0.500 0.000 0.500
Ga: 0.500 0.500 0.000
Rh: 0.500 0.500 0.500

No. 7
Crystalline CaZrAs at its relaxed geometry, computed with PBE-GGA.

SG: No. 139
ρ in g cm⁻³: 4.9
E_form in kcal/mol of atoms: -20.56

Cell: 4.186 4.186 16.098 Å, 90.00 90.00 90.00°
Element x y z (fractional)
Ca: 0.000 0.000 0.176
Ca: 0.000 0.000 0.824
Ca: 0.500 0.500 0.324
Ca: 0.500 0.500 0.676
Zr: 0.000 0.500 0.000
Zr: 0.000 0.500 0.500
Zr: 0.500 0.000 0.000
Zr: 0.500 0.000 0.500
As: 0.000 0.000 0.372
As: 0.000 0.000 0.628
As: 0.500 0.500 0.128
As: 0.500 0.500 0.872

No. 8
Crystalline CsBiAs at its relaxed geometry, computed with PBE-GGA.

SG: No. 187
ρ in g cm⁻³: 5.5
E_form in kcal/mol of atoms: -6.63

Cell: 4.990 4.990 5.888 Å, 90.00 90.00 120.00°
Element x y z (fractional)
Cs: 0.000 0.000 0.000
Bi: 0.667 0.333 0.500
As: 0.333 0.667 0.500

No. 9
Crystalline ZrAlSi at its relaxed geometry, computed with PBE-GGA.

SG: No. 156
ρ in g cm⁻³: 4.4
Raw formation energy in eV per atom: -0.094

Cell: 3.044 3.044 6.810 Å, 90.00 90.00 120.00°
Element x y z (fractional)
Zr: 0.000 0.000 0.000
Al: 0.667 0.333 0.358
Si: 0.333 0.667 0.663

No. 10
Crystalline Ba2LaPd2 at its relaxed geometry, computed with PBE-GGA.

SG: No. 127
ρ in g cm⁻³: 6.8
E_form in kcal/mol of atoms: -4.09

Cell: 9.216 9.216 3.584 Å, 90.00 90.00 90.00°
Element x y z (fractional)
Ba: 0.136 0.364 0.000
Ba: 0.364 0.864 0.000
Ba: 0.636 0.136 0.000
Ba: 0.864 0.636 0.000
La: 0.000 0.000 0.000
La: 0.500 0.500 0.000
Pd: 0.172 0.672 0.500
Pd: 0.328 0.172 0.500
Pd: 0.672 0.828 0.500
Pd: 0.828 0.328 0.500

No. 11
Crystalline Tl2GeO5 at its relaxed geometry, computed with PBE-GGA.

SG: No. 141
ρ in g cm⁻³: 7.4
Raw formation energy in eV per atom: -0.963

Cell: 7.967 7.967 7.967 Å, 134.65 134.65 66.07°
Element x y z (fractional)
Tl: 0.000 0.000 0.000
Tl: 0.000 0.000 0.500
Tl: 0.000 0.500 0.000
Tl: 0.500 0.000 0.500
Ge: 0.375 0.625 0.750
Ge: 0.625 0.375 0.250
O: 0.125 0.875 0.250
O: 0.197 0.695 0.502
O: 0.305 0.307 0.502
O: 0.305 0.803 0.998
O: 0.307 0.305 0.002
O: 0.693 0.695 0.998
O: 0.695 0.197 0.002
O: 0.695 0.693 0.498
O: 0.803 0.305 0.498
O: 0.875 0.125 0.750